# 1
Entry from Alexandria: Nd6ErTm5 after structural relaxation (PBE).

Cell lengths 9.486, 9.486, 9.486 Å; angles 148.73, 116.50, 72.49 degrees
Element x y z (fractional)
Nd1 0.083 0.333 0.750
Nd2 0.250 0.000 0.250
Nd3 0.417 0.667 0.750
Nd4 0.583 0.333 0.250
Nd5 0.750 0.000 0.750
Nd6 0.917 0.667 0.250
Er1 0.500 0.500 0.000
Tm1 0.000 0.500 0.500
Tm2 0.167 0.167 0.000
Tm3 0.333 0.833 0.500
Tm4 0.667 0.167 0.500
Tm5 0.833 0.833 0.000

Results
E_form = 19 meV per atom
Raw total energy = -4.6084 eV/atom

=====

# 2
Entry from Alexandria: YMg2Cd2 after structural relaxation (PBE).

Cell lengths 8.765, 5.059, 5.829 Å; angles 90.00, 90.24, 90.00 degrees
Element x y z (fractional)
Y1 0.000 0.000 0.000
Y2 0.500 0.500 0.000
Mg1 0.166 0.500 0.656
Mg2 0.334 0.000 0.344
Mg3 0.666 0.000 0.656
Mg4 0.834 0.500 0.344
Cd1 0.167 0.500 0.173
Cd2 0.333 0.000 0.827
Cd3 0.667 0.000 0.173
Cd4 0.833 0.500 0.827

Results
E_form = -84 meV per atom
Raw total energy = -2.3807 eV/atom

=====

# 3
Entry from Alexandria: Ho2Tm5Sc5 after structural relaxation (PBE).

Cell lengths 7.599, 7.599, 10.763 Å; angles 115.05, 115.05, 36.80 degrees
Element x y z (fractional)
Ho1 0.083 0.083 0.246
Ho2 0.917 0.917 0.754
Tm1 0.335 0.335 0.500
Tm2 0.413 0.413 0.248
Tm3 0.500 0.500 0.000
Tm4 0.587 0.587 0.752
Tm5 0.665 0.665 0.500
Sc1 0.000 0.000 0.500
Sc2 0.170 0.170 0.001
Sc3 0.249 0.249 0.753
Sc4 0.751 0.751 0.247
Sc5 0.830 0.830 0.999

Results
E_form = 50 meV per atom
Raw total energy = -5.2139 eV/atom

=====

# 4
Entry from Alexandria: CdPb2Se2 after structural relaxation (PBE).

Cell lengths 5.391, 5.391, 12.488 Å; angles 90.00, 90.00, 90.00 degrees
Element x y z (fractional)
Cd1 0.000 0.000 0.000
Cd2 0.500 0.500 0.500
Pb1 0.000 0.500 0.250
Pb2 0.000 0.500 0.750
Pb3 0.500 0.000 0.250
Pb4 0.500 0.000 0.750
Se1 0.000 0.000 0.356
Se2 0.000 0.000 0.644
Se3 0.500 0.500 0.144
Se4 0.500 0.500 0.856

Results
Raw total energy = -3.1840 eV/atom